## A
DFT (PBEsol) results for TlAu2Cl after structural relaxation.

Output
- M_tot (μB/f.u.) = 0.0
- space group = P4/mmm, No. 123

Unit cell a=3.837 b=3.837 c=5.735 alpha=90.00 beta=90.00 gamma=90.00
Element x y z (fractional)
Tl: 0.000 0.000 0.000
Au: 0.500 0.500 0.242
Au: 0.500 0.500 0.758
Cl: 0.000 0.000 0.500

## B
DFT (PBEsol) results for TlAu2Cl after structural relaxation.

Output
- M_tot (μB/f.u.) = 0.0
- space group = P4/mmm, No. 123

Unit cell a=3.925 b=3.925 c=5.707 alpha=90.00 beta=90.00 gamma=90.00
Element x y z (fractional)
Tl: 0.000 0.000 0.000
Au: 0.000 0.500 0.500
Au: 0.500 0.000 0.500
Cl: 0.500 0.500 0.000

Need the numbers? Relative energies in meV per atom: A 109; B 0.

## A
DFT (PBEsol) results for TlAuCl2 after structural relaxation.

Output
- M_tot (μB/f.u.) = 0.0
- space group = Fm-3m, No. 225

Unit cell a=4.995 b=4.995 c=4.995 alpha=60.00 beta=60.00 gamma=60.00
Element x y z (fractional)
Tl: 0.000 0.000 0.000
Au: 0.500 0.500 0.500
Cl: 0.250 0.250 0.250
Cl: 0.750 0.750 0.750

## B
DFT (PBEsol) results for TlAuCl2 after structural relaxation.

Output
- M_tot (μB/f.u.) = 0.0
- space group = R-3m, No. 166

Unit cell a=7.716 b=7.716 c=7.716 alpha=37.49 beta=37.49 gamma=37.49
Element x y z (fractional)
Tl: 0.000 0.000 0.000
Au: 0.500 0.500 0.500
Cl: 0.396 0.396 0.396
Cl: 0.604 0.604 0.604

Need the numbers? Relative energies in meV per atom: A 332; B 0.

## A
DFT (PBEsol) results for W2AuCl after structural relaxation.

Output
- M_tot (μB/f.u.) = 0.0
- space group = Immm, No. 71

Unit cell a=5.414 b=5.414 c=5.414 alpha=150.28 beta=123.90 gamma=64.78
Element x y z (fractional)
W: 0.229 0.229 0.000
W: 0.771 0.771 0.000
Au: 0.500 0.000 0.500
Cl: 0.000 0.500 0.500

## B
DFT (PBEsol) results for W2AuCl after structural relaxation.

Output
- M_tot (μB/f.u.) = 0.0
- space group = F-43m, No. 216

Unit cell a=4.526 b=4.526 c=4.526 alpha=60.00 beta=60.00 gamma=60.00
Element x y z (fractional)
W: 0.000 0.000 0.000
W: 0.250 0.250 0.250
Au: 0.750 0.750 0.750
Cl: 0.500 0.500 0.500

## C
DFT (PBEsol) results for W2AuCl after structural relaxation.

Output
- M_tot (μB/f.u.) = 0.0
- space group = P4/mmm, No. 123

Unit cell a=2.988 b=2.988 c=6.688 alpha=90.00 beta=90.00 gamma=90.00
Element x y z (fractional)
W: 0.000 0.000 0.227
W: 0.000 0.000 0.773
Au: 0.500 0.500 0.500
Cl: 0.500 0.500 0.000

## D
DFT (PBEsol) results for W2AuCl after structural relaxation.

Output
- M_tot (μB/f.u.) = 0.0
- space group = R-3m, No. 166

Unit cell a=8.915 b=8.915 c=8.915 alpha=18.45 beta=18.45 gamma=18.45
Element x y z (fractional)
W: 0.246 0.246 0.246
W: 0.754 0.754 0.754
Au: 0.000 0.000 0.000
Cl: 0.500 0.500 0.500

Need the numbers? Relative energies in meV per atom: A 256; B 591; C 312; D 0.

## A
DFT (PBEsol) results for W2AuCl after structural relaxation.

Output
- M_tot (μB/f.u.) = 0.0
- space group = R3m, No. 160

Unit cell a=9.492 b=9.492 c=9.492 alpha=17.35 beta=17.35 gamma=17.35
Element x y z (fractional)
W: 0.000 0.000 0.000
W: 0.250 0.250 0.250
Au: 0.749 0.749 0.749
Cl: 0.518 0.518 0.518

## B
DFT (PBEsol) results for W2AuCl after structural relaxation.

Output
- M_tot (μB/f.u.) = 0.0
- space group = P4mm, No. 99

Unit cell a=2.846 b=2.846 c=8.832 alpha=90.00 beta=90.00 gamma=90.00
Element x y z (fractional)
W: 0.000 0.000 0.000
W: 0.500 0.500 0.219
Au: 0.000 0.000 0.442
Cl: 0.500 0.500 0.815

## C
DFT (PBEsol) results for W2AuCl after structural relaxation.

Output
- M_tot (μB/f.u.) = 0.0
- space group = Imm2, No. 44

Unit cell a=5.658 b=5.658 c=5.658 alpha=149.82 beta=130.27 gamma=59.29
Element x y z (fractional)
W: 0.000 0.000 0.000
W: 0.803 0.303 0.500
Au: 0.289 0.789 0.500
Cl: 0.570 0.570 0.000

Need the numbers? Relative energies in meV per atom: A 0; B 81; C 432.

## A
DFT (PBEsol) results for WAu2Cl after structural relaxation.

Output
- M_tot (μB/f.u.) = 0.0
- space group = R-3m, No. 166

Unit cell a=8.889 b=8.889 c=8.889 alpha=19.31 beta=19.31 gamma=19.31
Element x y z (fractional)
W: 0.000 0.000 0.000
Au: 0.251 0.251 0.251
Au: 0.749 0.749 0.749
Cl: 0.500 0.500 0.500

## B
DFT (PBEsol) results for WAu2Cl after structural relaxation.

Output
- M_tot (μB/f.u.) = 0.0
- space group = Cm, No. 8

Unit cell a=4.380 b=4.380 c=5.804 alpha=98.59 beta=98.59 gamma=37.88
Element x y z (fractional)
W: 0.000 0.000 0.000
Au: 0.261 0.261 0.714
Au: 0.509 0.509 0.449
Cl: 0.737 0.737 0.156

Need the numbers? Relative energies in meV per atom: A 0; B 174.

## A
DFT (PBEsol) results for ZnAu2Cl after structural relaxation.

Output
- M_tot (μB/f.u.) = 0.0
- space group = P4/mmm, No. 123

Unit cell a=3.744 b=3.744 c=5.270 alpha=90.00 beta=90.00 gamma=90.00
Element x y z (fractional)
Zn: 0.000 0.000 0.000
Au: 0.000 0.500 0.500
Au: 0.500 0.000 0.500
Cl: 0.500 0.500 0.000

## B
DFT (PBEsol) results for ZnAu2Cl after structural relaxation.

Output
- M_tot (μB/f.u.) = 0.0
- space group = I-4m2, No. 119

Unit cell a=6.090 b=6.090 c=6.090 alpha=145.17 beta=145.17 gamma=50.08
Element x y z (fractional)
Zn: 0.000 0.000 0.000
Au: 0.500 0.500 0.000
Au: 0.750 0.250 0.500
Cl: 0.250 0.750 0.500

## C
DFT (PBEsol) results for ZnAu2Cl after structural relaxation.

Output
- M_tot (μB/f.u.) = 0.0
- space group = Cmm2, No. 35

Unit cell a=2.977 b=2.977 c=8.765 alpha=90.00 beta=90.00 gamma=112.76
Element x y z (fractional)
Zn: 0.000 0.000 0.000
Au: 0.000 0.000 0.521
Au: 0.500 0.500 0.777
Cl: 0.500 0.500 0.188

Need the numbers? Relative energies in meV per atom: A 173; B 242; C 0.

## A
DFT (PBEsol) results for ZrAuCl2 after structural relaxation.

Output
- M_tot (μB/f.u.) = 0.0
- space group = P2/m, No. 10

Unit cell a=5.123 b=3.197 c=5.130 alpha=90.00 beta=117.53 gamma=90.00
Element x y z (fractional)
Zr: 0.000 0.000 0.000
Au: 0.500 0.500 0.500
Cl: 0.000 0.500 0.500
Cl: 0.500 0.000 0.000

## B
DFT (PBEsol) results for ZrAuCl2 after structural relaxation.

Output
- M_tot (μB/f.u.) = 0.0
- space group = Pmmm, No. 47

Unit cell a=3.214 b=4.351 c=5.287 alpha=90.00 beta=90.00 gamma=90.00
Element x y z (fractional)
Zr: 0.000 0.000 0.000
Au: 0.500 0.000 0.500
Cl: 0.000 0.500 0.500
Cl: 0.500 0.500 0.000

Need the numbers? Relative energies in meV per atom: A 0; B 116.